# Ac6Co3Cl PBE-GGA optimized geometry
# * density of states at the Fermi level: 0.76 states/eV/atom
# * formation energy (no corrections): -0.295 eV per atom
# * symmetry: No. 11
# * final energy: -50.8 eV/f.u.
data_Ac6Co3Cl
_space_group_name_H-M_alt 'P 1'
_space_group_IT_number 1
_space_group_name_Hall 'P 1'
_cell_length_a 4.206
_cell_length_b 12.378
_cell_length_c 14.255
_cell_angle_alpha 120.41
_cell_angle_beta 90.00
_cell_angle_gamma 90.00
loop_
_atom_site_label
_atom_site_fract_x
_atom_site_fract_y
_atom_site_fract_z
Ac1 0.750 0.163 0.573
Ac2 0.250 0.837 0.427
Ac3 0.750 0.149 0.075
Ac4 0.250 0.851 0.925
Ac5 0.750 0.670 0.605
Ac6 0.250 0.330 0.395
Ac7 0.750 0.539 0.291
Ac8 0.250 0.461 0.709
Ac9 0.750 0.337 0.886
Ac10 0.250 0.663 0.114
Ac11 0.750 0.992 0.248
Ac12 0.250 0.008 0.752
Co1 0.750 0.387 0.552
Co2 0.250 0.613 0.448
Co3 0.750 0.761 0.268
Co4 0.250 0.239 0.732
Co5 0.750 0.941 0.844
Co6 0.250 0.059 0.156
Cl1 0.750 0.634 0.918
Cl2 0.250 0.366 0.082

# NaCaTb2S4 PBE-GGA optimized geometry
# * density of states at the Fermi level: 0.31 states/eV/atom
# * formation energy (no corrections): -1.954 eV per atom
# * symmetry: No. 74
# * final energy: -44.7 eV/f.u.
data_NaCaTb2S4
_space_group_name_H-M_alt 'P 1'
_space_group_IT_number 1
_space_group_name_Hall 'P 1'
_cell_length_a 7.973
_cell_length_b 7.973
_cell_length_c 7.963
_cell_angle_alpha 119.96
_cell_angle_beta 119.96
_cell_angle_gamma 89.92
loop_
_atom_site_label
_atom_site_fract_x
_atom_site_fract_y
_atom_site_fract_z
Na1 0.000 0.500 0.000
Na2 0.000 0.500 0.500
Ca1 0.500 0.500 0.500
Ca2 0.000 0.000 0.000
Tb1 0.500 0.000 0.000
Tb2 0.500 0.000 0.500
Tb3 0.000 0.000 0.500
Tb4 0.500 0.500 0.000
S1 0.262 0.756 0.009
S2 0.744 0.238 0.491
S3 0.256 0.762 0.509
S4 0.738 0.244 0.991
S5 0.747 0.753 0.004
S6 0.747 0.753 0.496
S7 0.253 0.247 0.504
S8 0.253 0.247 0.996

# ThCuAg2 PBE-GGA optimized geometry
# * density of states at the Fermi level: 0.65 states/eV/atom
# * symmetry: No. 123
# * final energy: -17.0 eV/f.u.
data_ThCuAg2
_space_group_name_H-M_alt 'P 1'
_space_group_IT_number 1
_space_group_name_Hall 'P 1'
_cell_length_a 3.358
_cell_length_b 3.358
_cell_length_c 7.225
_cell_angle_alpha 90.00
_cell_angle_beta 90.00
_cell_angle_gamma 90.00
loop_
_atom_site_label
_atom_site_fract_x
_atom_site_fract_y
_atom_site_fract_z
Cu1 0.500 0.500 0.000
Ag1 0.000 0.000 0.806
Ag2 0.000 0.000 0.194
Th1 0.500 0.500 0.500

# Pa3Sn2Pd8 PBE-GGA optimized geometry
# * density of states at the Fermi level: 0.91 states/eV/atom
# * symmetry: No. 166
# * final energy: -83.8 eV/f.u.
data_Pa3Sn2Pd8
_space_group_name_H-M_alt 'P 1'
_space_group_IT_number 1
_space_group_name_Hall 'P 1'
_cell_length_a 5.459
_cell_length_b 5.459
_cell_length_c 11.024
_cell_angle_alpha 75.67
_cell_angle_beta 75.67
_cell_angle_gamma 60.00
loop_
_atom_site_label
_atom_site_fract_x
_atom_site_fract_y
_atom_site_fract_z
Pa1 0.000 0.000 0.000
Pa2 0.781 0.781 0.657
Pa3 0.219 0.219 0.343
Sn1 0.611 0.611 0.166
Sn2 0.389 0.389 0.834
Pd1 0.696 0.696 0.913
Pd2 0.304 0.304 0.087
Pd3 0.200 0.705 0.389
Pd4 0.705 0.200 0.389
Pd5 0.705 0.705 0.389
Pd6 0.295 0.800 0.611
Pd7 0.800 0.295 0.611
Pd8 0.295 0.295 0.611

# MgFeCl2 PBE-GGA optimized geometry
# * density of states at the Fermi level: 0.78 states/eV/atom
# * formation energy (no corrections): -0.520 eV per atom
# * symmetry: No. 35
# * final energy: -15.8 eV/f.u.
data_MgFeCl2
_space_group_name_H-M_alt 'P 1'
_space_group_IT_number 1
_space_group_name_Hall 'P 1'
_cell_length_a 3.142
_cell_length_b 3.142
_cell_length_c 8.425
_cell_angle_alpha 90.00
_cell_angle_beta 90.00
_cell_angle_gamma 89.29
loop_
_atom_site_label
_atom_site_fract_x
_atom_site_fract_y
_atom_site_fract_z
Cl1 0.000 0.000 0.913
Cl2 0.500 0.500 0.347
Fe1 0.000 0.000 0.494
Mg1 0.500 0.500 0.746

# Pr6Hg2Ir PBE-GGA optimized geometry
# * density of states at the Fermi level: 0.95 states/eV/atom
# * symmetry: No. 71
# * final energy: -40.8 eV/f.u.
data_Pr6Hg2Ir
_space_group_name_H-M_alt 'P 1'
_space_group_IT_number 1
_space_group_name_Hall 'P 1'
_cell_length_a 8.940
_cell_length_b 8.940
_cell_length_c 8.940
_cell_angle_alpha 73.37
_cell_angle_beta 70.52
_cell_angle_gamma 112.35
loop_
_atom_site_label
_atom_site_fract_x
_atom_site_fract_y
_atom_site_fract_z
Pr1 0.164 0.756 0.080
Pr2 0.836 0.244 0.920
Pr3 0.164 0.244 0.592
Pr4 0.836 0.756 0.408
Pr5 0.451 0.271 0.820
Pr6 0.549 0.729 0.180
Pr7 0.091 0.271 0.180
Pr8 0.909 0.729 0.820
Pr9 0.334 0.062 0.272
Pr10 0.666 0.938 0.728
Pr11 0.334 0.605 0.728
Pr12 0.666 0.395 0.272
Hg1 0.143 0.643 0.500
Hg2 0.857 0.357 0.500
Hg3 0.355 0.000 0.645
Hg4 0.645 0.000 0.355
Ir1 0.500 0.500 0.000
Ir2 0.000 0.000 0.000

# Cs2Sb3Pt2 PBE-GGA optimized geometry
# * density of states at the Fermi level: 0.30 states/eV/atom
# * formation energy (no corrections): -0.368 eV per atom
# * symmetry: No. 12
# * final energy: -28.7 eV/f.u.
data_Cs2Sb3Pt2
_space_group_name_H-M_alt 'P 1'
_space_group_IT_number 1
_space_group_name_Hall 'P 1'
_cell_length_a 4.502
_cell_length_b 7.255
_cell_length_c 8.924
_cell_angle_alpha 122.32
_cell_angle_beta 90.00
_cell_angle_gamma 108.07
loop_
_atom_site_label
_atom_site_fract_x
_atom_site_fract_y
_atom_site_fract_z
Cs1 0.856 0.711 0.220
Cs2 0.144 0.289 0.780
Sb1 0.500 0.000 0.000
Sb2 0.647 0.294 0.433
Sb3 0.353 0.706 0.567
Pt1 0.865 0.729 0.737
Pt2 0.135 0.271 0.263

# Sr3MgHg12 PBE-GGA optimized geometry
# * density of states at the Fermi level: 0.43 states/eV/atom
# * symmetry: No. 123
# * final energy: -15.5 eV/f.u.
data_Sr3MgHg12
_space_group_name_H-M_alt 'P 1'
_space_group_IT_number 1
_space_group_name_Hall 'P 1'
_cell_length_a 4.857
_cell_length_b 4.857
_cell_length_c 18.550
_cell_angle_alpha 90.00
_cell_angle_beta 90.00
_cell_angle_gamma 90.00
loop_
_atom_site_label
_atom_site_fract_x
_atom_site_fract_y
_atom_site_fract_z
Sr1 0.000 0.000 0.235
Sr2 0.000 0.000 0.500
Sr3 0.000 0.000 0.765
Mg1 0.000 0.000 0.000
Hg1 0.500 0.500 0.000
Hg2 0.500 0.500 0.239
Hg3 0.500 0.500 0.500
Hg4 0.500 0.500 0.761
Hg5 0.500 0.000 0.109
Hg6 0.500 0.000 0.369
Hg7 0.500 0.000 0.631
Hg8 0.500 0.000 0.891
Hg9 0.000 0.500 0.109
Hg10 0.000 0.500 0.369
Hg11 0.000 0.500 0.631
Hg12 0.000 0.500 0.891

# Li5HoHg6 PBE-GGA optimized geometry
# * density of states at the Fermi level: 0.39 states/eV/atom
# * symmetry: No. 10
# * final energy: -20.5 eV/f.u.
data_Li5HoHg6
_space_group_name_H-M_alt 'P 1'
_space_group_IT_number 1
_space_group_name_Hall 'P 1'
_cell_length_a 4.838
_cell_length_b 6.856
_cell_length_c 7.607
_cell_angle_alpha 90.00
_cell_angle_beta 108.26
_cell_angle_gamma 90.00
loop_
_atom_site_label
_atom_site_fract_x
_atom_site_fract_y
_atom_site_fract_z
Hg1 0.828 0.735 0.655
Hg2 0.828 0.265 0.655
Hg3 0.500 0.270 0.000
Hg4 0.500 0.730 0.000
Hg5 0.172 0.735 0.345
Hg6 0.172 0.265 0.345
Ho1 0.000 0.000 0.000
Li1 0.662 0.500 0.322
Li2 0.331 0.000 0.658
Li3 0.000 0.500 0.000
Li4 0.669 0.000 0.342
Li5 0.338 0.500 0.678

# MnZnFe2 PBE-GGA optimized geometry
# * density of states at the Fermi level: 1.21 states/eV/atom
# * symmetry: No. 71
# * final energy: -26.8 eV/f.u.
data_MnZnFe2
_space_group_name_H-M_alt 'P 1'
_space_group_IT_number 1
_space_group_name_Hall 'P 1'
_cell_length_a 4.738
_cell_length_b 4.738
_cell_length_c 4.738
_cell_angle_alpha 143.71
_cell_angle_beta 129.30
_cell_angle_gamma 63.93
loop_
_atom_site_label
_atom_site_fract_x
_atom_site_fract_y
_atom_site_fract_z
Fe1 0.008 0.008 0.000
Fe2 0.492 0.492 0.000
Mn1 0.250 0.750 0.500
Zn1 0.750 0.250 0.500

# La12Sn5Ir2 PBE-GGA optimized geometry
# * density of states at the Fermi level: 1.08 states/eV/atom
# * symmetry: No. 12
# * final energy: -106.9 eV/f.u.
data_La12Sn5Ir2
_space_group_name_H-M_alt 'P 1'
_space_group_IT_number 1
_space_group_name_Hall 'P 1'
_cell_length_a 7.931
_cell_length_b 9.913
_cell_length_c 10.193
_cell_angle_alpha 104.59
_cell_angle_beta 90.00
_cell_angle_gamma 113.58
loop_
_atom_site_label
_atom_site_fract_x
_atom_site_fract_y
_atom_site_fract_z
La1 0.997 0.994 0.176
La2 0.105 0.682 0.921
La3 0.577 0.682 0.921
La4 0.091 0.698 0.424
La5 0.607 0.698 0.424
La6 0.499 0.997 0.759
La7 0.501 0.003 0.241
La8 0.909 0.302 0.576
La9 0.393 0.302 0.576
La10 0.895 0.318 0.079
La11 0.423 0.318 0.079
La12 0.003 0.006 0.824
Sn1 0.306 0.612 0.639
Sn2 0.309 0.619 0.169
Sn3 0.000 0.000 0.500
Sn4 0.691 0.381 0.831
Sn5 0.694 0.388 0.361
Ir1 0.708 0.000 0.000
Ir2 0.292 0.000 0.000

# LiPr2Zn4Si3 PBE-GGA optimized geometry
# * density of states at the Fermi level: 0.19 states/eV/atom
# * formation energy (no corrections): -0.425 eV per atom
# * symmetry: No. 115
# * final energy: -37.1 eV/f.u.
data_LiPr2Zn4Si3
_space_group_name_H-M_alt 'P 1'
_space_group_IT_number 1
_space_group_name_Hall 'P 1'
_cell_length_a 4.176
_cell_length_b 4.176
_cell_length_c 10.537
_cell_angle_alpha 90.00
_cell_angle_beta 90.00
_cell_angle_gamma 90.00
loop_
_atom_site_label
_atom_site_fract_x
_atom_site_fract_y
_atom_site_fract_z
Li1 0.500 0.500 0.500
Pr1 0.500 0.000 0.246
Pr2 0.000 0.500 0.754
Zn1 0.500 0.500 0.000
Zn2 0.000 0.000 0.000
Zn3 0.500 0.000 0.629
Zn4 0.000 0.500 0.371
Si1 0.000 0.000 0.500
Si2 0.500 0.000 0.860
Si3 0.000 0.500 0.140